Entry 1:
First-principles (PBE) data for a relaxed structure of ReIr2Pb, as listed in Alexandria.

The structure in POSCAR format:
```
ReIr2Pb
1.0
4.560 0.000 0.000
2.280 3.949 0.000
2.280 1.316 3.723
Re Ir Pb
1 2 1
Direct
0.750 0.750 0.750
0.250 0.250 0.250
0.000 0.000 0.000
0.500 0.500 0.500
```

Calculated values
The calculation puts the density of states at the Fermi level at 3.26 states/eV per cell. The value obtained for the energy of formation from the pure elements is 0.769 eV/atom.

=====

Entry 2:
First-principles (PBE) data for a relaxed structure of ReIrPb2, as listed in Alexandria.

The structure in POSCAR format:
```
ReIrPb2
1.0
-3.334 -0.899 -0.419
-0.151 -1.513 4.444
-1.331 4.278 1.411
Re Pb Ir
1 2 1
Direct
0.500 0.500 0.000
0.000 0.500 0.500
0.000 0.000 0.000
0.500 0.000 0.500
```

Calculated values
The calculation puts the density of states at the Fermi level at 2.11 states/eV per cell. The value obtained for the energy of formation from the pure elements is 0.877 eV/atom.

=====

Entry 3:
First-principles (PBE) data for a relaxed structure of ReIrPb2, as listed in Alexandria.

The structure in POSCAR format:
```
ReIrPb2
1.0
-4.469 4.582 -0.879
-5.364 0.841 3.502
6.407 -0.262 -0.788
Pb Ir Re
2 1 1
Direct
0.965 0.965 0.000
0.281 0.781 0.500
0.718 0.218 0.500
0.537 0.537 0.000
```

Calculated values
The calculation puts the density of states at the Fermi level at 3.52 states/eV per cell. The value obtained for the energy of formation from the pure elements is 0.779 eV/atom.

=====

Entry 4:
First-principles (PBE) data for a relaxed structure of ReIrPb2, as listed in Alexandria.

The structure in POSCAR format:
```
ReIrPb2
1.0
3.157 0.035 0.000
-1.246 2.901 0.000
0.000 0.000 8.740
Pb Ir Re
2 1 1
Direct
0.000 0.000 0.504
0.000 0.000 0.996
0.500 0.500 0.750
0.500 0.500 0.250
```

Calculated values
The calculation puts the density of states at the Fermi level at 3.62 states/eV per cell. The value obtained for the energy of formation from the pure elements is 1.048 eV/atom.

=====

Entry 5:
First-principles (PBE) data for a relaxed structure of ReIrPb2, as listed in Alexandria.

The structure in POSCAR format:
```
ReIrPb2
1.0
-4.315 1.942 0.648
-1.709 3.133 -3.174
-3.625 -1.230 -2.855
Ir Pb Re
1 2 1
Direct
0.500 0.500 0.500
0.250 0.250 0.250
0.750 0.750 0.750
0.000 0.000 0.000
```

Calculated values
The calculation puts the density of states at the Fermi level at 1.14 states/eV per cell. The value obtained for the energy of formation from the pure elements is 0.909 eV/atom.

=====

Entry 6:
First-principles (PBE) data for a relaxed structure of ReIrPb2, as listed in Alexandria.

The structure in POSCAR format:
```
ReIrPb2
1.0
3.275 0.000 0.000
0.000 5.454 0.000
0.000 0.000 4.528
Ir Pb Re
1 2 1
Direct
0.000 0.500 0.500
0.500 0.500 0.000
0.000 0.000 0.000
0.500 0.000 0.500
```

Calculated values
The calculation puts the density of states at the Fermi level at 3.58 states/eV per cell. The value obtained for the energy of formation from the pure elements is 1.057 eV/atom.

=====

Entry 7:
First-principles (PBE) data for a relaxed structure of ReIr3Pb, as listed in Alexandria.

The structure in POSCAR format:
```
ReIr3Pb
1.0
4.845 0.000 0.000
0.000 4.845 0.000
0.000 0.000 4.845
Pb Re Ir
1 1 3
Direct
0.000 0.000 0.000
0.500 0.500 0.500
0.000 0.000 0.500
0.500 0.000 0.000
0.000 0.500 0.000
```

Calculated values
The calculation puts the density of states at the Fermi level at 16.19 states/eV per cell. The value obtained for the energy of formation from the pure elements is 3.046 eV/atom.

=====

Entry 8:
First-principles (PBE) data for a relaxed structure of ReIr2Pb, as listed in Alexandria.

The structure in POSCAR format:
```
ReIr2Pb
1.0
9.584 0.018 0.011
9.138 2.891 0.011
9.138 1.420 2.518
Ir Pb Re
2 1 1
Direct
0.256 0.256 0.256
0.002 0.002 0.002
0.502 0.502 0.502
0.740 0.740 0.740
```

Calculated values
The calculation puts the density of states at the Fermi level at 3.74 states/eV per cell. The value obtained for the energy of formation from the pure elements is 0.611 eV/atom.

=====

Entry 9:
First-principles (PBE) data for a relaxed structure of Re2IrPb, as listed in Alexandria.

The structure in POSCAR format:
```
Re2IrPb
1.0
4.825 -0.009 0.017
3.870 2.881 0.017
0.917 0.303 5.002
Ir Re Pb
1 2 1
Direct
0.487 0.487 0.517
0.746 0.746 0.786
0.017 0.017 0.931
0.250 0.250 0.266
```

Calculated values
The calculation puts the density of states at the Fermi level at 3.49 states/eV per cell. The value obtained for the energy of formation from the pure elements is 0.664 eV/atom.

=====

Entry 10:
First-principles (PBE) data for a relaxed structure of ReIrPb2, as listed in Alexandria.

The structure in POSCAR format:
```
ReIrPb2
1.0
5.276 -0.078 -0.096
1.538 5.048 0.096
-2.729 -3.415 2.957
Pb Re Ir
2 1 1
Direct
0.507 0.507 0.000
0.993 0.993 0.000
0.250 0.750 0.500
0.750 0.250 0.500
```

Calculated values
The calculation puts the density of states at the Fermi level at 2.99 states/eV per cell. The value obtained for the energy of formation from the pure elements is 1.055 eV/atom.

=====

Entry 11:
First-principles (PBE) data for a relaxed structure of ReIrPb2, as listed in Alexandria.

The structure in POSCAR format:
```
ReIrPb2
1.0
-0.433 2.752 1.210
0.132 -1.199 2.775
9.778 -0.973 5.712
Pb Re Ir
2 1 1
Direct
0.000 0.743 0.941
0.500 0.509 0.309
0.000 0.534 0.545
0.500 0.714 0.705
```

Calculated values
The calculation puts the density of states at the Fermi level at 2.81 states/eV per cell. The value obtained for the energy of formation from the pure elements is 0.349 eV/atom.

=====

Entry 12:
First-principles (PBE) data for a relaxed structure of ReIr2Pb, as listed in Alexandria.

The structure in POSCAR format:
```
ReIr2Pb
1.0
4.902 0.003 0.000
1.488 4.670 0.000
-3.195 -2.337 2.891
Re Ir Pb
1 2 1
Direct
0.750 0.250 0.500
0.250 0.750 0.500
0.000 0.000 0.000
0.500 0.500 0.000
```

Calculated values
The calculation puts the density of states at the Fermi level at 2.82 states/eV per cell. The value obtained for the energy of formation from the pure elements is 0.612 eV/atom.

=====

Entry 13:
First-principles (PBE) data for a relaxed structure of Re2IrPb, as listed in Alexandria.

The structure in POSCAR format:
```
Re2IrPb
1.0
-2.751 -2.681 -1.142
2.044 -1.951 -0.346
0.619 -3.090 5.762
Re Ir Pb
2 1 1
Direct
0.000 0.878 0.056
0.000 0.622 0.444
0.500 0.250 0.250
0.500 0.750 0.750
```

Calculated values
The calculation puts the density of states at the Fermi level at 4.33 states/eV per cell. The value obtained for the energy of formation from the pure elements is 0.679 eV/atom.

=====

Entry 14:
First-principles (PBE) data for a relaxed structure of Re2IrPb, as listed in Alexandria.

The structure in POSCAR format:
```
Re2IrPb
1.0
2.971 0.000 0.000
0.000 2.983 -0.112
0.000 1.787 7.912
Re Pb Ir
2 1 1
Direct
0.500 0.191 0.243
0.000 0.787 0.050
0.500 0.946 0.734
0.000 0.576 0.474
```

Calculated values
The calculation puts the density of states at the Fermi level at 2.09 states/eV per cell. The value obtained for the energy of formation from the pure elements is 0.454 eV/atom.

=====

Entry 15:
First-principles (PBE) data for a relaxed structure of ReIrPb, as listed in Alexandria.

The structure in POSCAR format:
```
ReIrPb
1.0
2.982 0.000 0.000
-1.491 2.583 0.000
0.000 0.000 7.062
Ir Re Pb
1 1 1
Direct
0.000 0.000 0.974
0.667 0.333 0.693
0.333 0.667 0.332
```

Calculated values
The calculation puts the density of states at the Fermi level at 2.05 states/eV per cell. The value obtained for the energy of formation from the pure elements is 0.645 eV/atom.

=====

Entry 16:
First-principles (PBE) data for a relaxed structure of ReIr3Pb, as listed in Alexandria.

The structure in POSCAR format:
```
ReIr3Pb
1.0
4.810 0.000 0.000
0.000 4.810 0.000
0.000 0.000 4.810
Pb Ir Re
1 3 1
Direct
0.500 0.500 0.500
0.000 0.000 0.500
0.500 0.000 0.000
0.000 0.500 0.000
0.000 0.000 0.000
```

Calculated values
The calculation puts the density of states at the Fermi level at 4.96 states/eV per cell. The value obtained for the energy of formation from the pure elements is 1.334 eV/atom.

=====

Entry 17:
First-principles (PBE) data for a relaxed structure of ReIrPb2, as listed in Alexandria.

The structure in POSCAR format:
```
ReIrPb2
1.0
-4.490 -0.553 -1.709
-3.095 -3.354 -1.600
-2.864 -1.243 4.688
Ir Re Pb
1 1 2
Direct
0.250 0.250 0.250
0.750 0.750 0.750
0.502 0.502 0.500
0.998 0.998 0.000
```

Calculated values
The calculation puts the density of states at the Fermi level at 3.60 states/eV per cell. The value obtained for the energy of formation from the pure elements is 0.969 eV/atom.

=====

Entry 18:
First-principles (PBE) data for a relaxed structure of ReIr2Pb, as listed in Alexandria.

The structure in POSCAR format:
```
ReIr2Pb
1.0
9.552 -0.017 -0.010
9.113 2.862 -0.010
9.113 1.389 2.503
Pb Re Ir
1 1 2
Direct
0.250 0.250 0.250
0.750 0.750 0.750
0.491 0.491 0.491
0.009 0.009 0.009
```

Calculated values
The calculation puts the density of states at the Fermi level at 3.08 states/eV per cell. The value obtained for the energy of formation from the pure elements is 0.414 eV/atom.

=====

Entry 19:
First-principles (PBE) data for a relaxed structure of Re2IrPb, as listed in Alexandria.

The structure in POSCAR format:
```
Re2IrPb
1.0
4.852 -0.003 0.003
3.977 2.781 0.003
1.063 0.335 5.156
Pb Re Ir
1 2 1
Direct
0.250 0.250 0.250
0.491 0.491 0.550
0.009 0.009 0.950
0.750 0.750 0.750
```

Calculated values
The calculation puts the density of states at the Fermi level at 3.77 states/eV per cell. The value obtained for the energy of formation from the pure elements is 0.628 eV/atom.

=====

Entry 20:
First-principles (PBE) data for a relaxed structure of ReIrPb, as listed in Alexandria.

The structure in POSCAR format:
```
ReIrPb
1.0
-0.591 -4.275 0.898
2.442 -1.959 3.104
-1.845 -1.217 3.814
Pb Re Ir
1 1 1
Direct
0.000 0.000 0.000
0.500 0.500 0.500
0.750 0.750 0.750
```

Calculated values
The calculation puts the density of states at the Fermi level at 2.67 states/eV per cell. The value obtained for the energy of formation from the pure elements is 0.793 eV/atom.

=====

Entry 21:
First-principles (PBE) data for a relaxed structure of ReIr2Pb, as listed in Alexandria.

The structure in POSCAR format:
```
ReIr2Pb
1.0
-0.624 0.197 2.860
1.803 -4.432 0.699
4.294 1.874 0.809
Ir Pb Re
2 1 1
Direct
0.000 0.000 0.000
0.500 0.500 0.000
0.500 0.000 0.500
0.000 0.500 0.500
```

Calculated values
The calculation puts the density of states at the Fermi level at 4.34 states/eV per cell. The value obtained for the energy of formation from the pure elements is 0.766 eV/atom.

=====

Entry 22:
First-principles (PBE) data for a relaxed structure of Re2IrPb, as listed in Alexandria.

The structure in POSCAR format:
```
Re2IrPb
1.0
5.068 0.018 -0.001
-2.206 4.562 -0.001
0.001 0.001 2.911
Re Pb Ir
2 1 1
Direct
0.000 0.000 0.000
0.500 0.500 0.000
0.000 0.500 0.500
0.500 0.000 0.500
```

Calculated values
The calculation puts the density of states at the Fermi level at 4.64 states/eV per cell. The value obtained for the energy of formation from the pure elements is 0.893 eV/atom.

=====

Entry 23:
First-principles (PBE) data for a relaxed structure of ReIrPb2, as listed in Alexandria.

The structure in POSCAR format:
```
ReIrPb2
1.0
11.211 0.031 0.018
10.787 3.051 0.018
10.787 1.511 2.650
Pb Ir Re
2 1 1
Direct
0.231 0.231 0.231
0.019 0.019 0.019
0.762 0.762 0.762
0.488 0.488 0.488
```

Calculated values
The calculation puts the density of states at the Fermi level at 4.75 states/eV per cell. The value obtained for the energy of formation from the pure elements is 0.552 eV/atom.

=====

Entry 24:
First-principles (PBE) data for a relaxed structure of ReIrPb2, as listed in Alexandria.

The structure in POSCAR format:
```
ReIrPb2
1.0
5.688 0.541 0.000
2.412 5.179 0.000
-4.050 -2.860 2.839
Re Pb Ir
1 2 1
Direct
0.500 0.500 0.000
0.250 0.750 0.500
0.000 0.000 0.000
0.750 0.250 0.500
```

Calculated values
The calculation puts the density of states at the Fermi level at 4.02 states/eV per cell. The value obtained for the energy of formation from the pure elements is 1.051 eV/atom.

=====

Entry 25:
First-principles (PBE) data for a relaxed structure of ReIr2Pb2, as listed in Alexandria.

The structure in POSCAR format:
```
ReIr2Pb2
1.0
-5.096 -0.415 -6.037
6.052 -0.365 -5.083
-0.005 -3.018 0.211
Re Pb Ir
2 4 4
Direct
0.500 0.500 0.000
0.000 0.000 0.000
0.151 0.349 0.000
0.651 0.151 0.000
0.349 0.849 0.000
0.849 0.651 0.000
0.351 0.149 0.500
0.649 0.851 0.500
0.851 0.351 0.500
0.149 0.649 0.500
```

Calculated values
The calculation puts the density of states at the Fermi level at 6.33 states/eV per cell. The value obtained for the energy of formation from the pure elements is 1.107 eV/atom.

=====

Entry 26:
First-principles (PBE) data for a relaxed structure of Re3IrPb, as listed in Alexandria.

The structure in POSCAR format:
```
Re3IrPb
1.0
4.795 0.000 0.000
0.000 4.795 0.000
0.000 0.000 4.795
Re Ir Pb
3 1 1
Direct
0.000 0.500 0.000
0.500 0.000 0.000
0.000 0.000 0.500
0.000 0.000 0.000
0.500 0.500 0.500
```

Calculated values
The calculation puts the density of states at the Fermi level at 8.40 states/eV per cell. The value obtained for the energy of formation from the pure elements is 2.049 eV/atom.

=====

Entry 27:
First-principles (PBE) data for a relaxed structure of Re2IrPb, as listed in Alexandria.

The structure in POSCAR format:
```
Re2IrPb
1.0
-1.903 1.031 -2.017
-2.164 -1.608 1.219
-1.785 6.006 4.755
Re Ir Pb
2 1 1
Direct
0.000 0.000 0.036
0.500 0.500 0.242
0.000 0.000 0.473
0.500 0.500 0.748
```

Calculated values
The calculation puts the density of states at the Fermi level at 2.60 states/eV per cell. The value obtained for the energy of formation from the pure elements is 0.477 eV/atom.

=====

Entry 28:
First-principles (PBE) data for a relaxed structure of ReIrPb, as listed in Alexandria.

The structure in POSCAR format:
```
ReIrPb
1.0
6.608 0.021 -0.012
5.249 4.015 0.011
-5.925 -2.028 2.110
Re Ir Pb
1 1 1
Direct
0.646 0.646 0.000
0.023 0.023 0.000
0.331 0.331 0.000
```

Calculated values
The calculation puts the density of states at the Fermi level at 1.55 states/eV per cell. The value obtained for the energy of formation from the pure elements is 0.511 eV/atom.

=====

Entry 29:
First-principles (PBE) data for a relaxed structure of ReIr2Pb, as listed in Alexandria.

The structure in POSCAR format:
```
ReIr2Pb
1.0
-1.409 2.395 -0.843
1.017 -0.334 -2.651
-6.282 -4.849 -3.280
Re Ir Pb
1 2 1
Direct
0.500 0.750 0.750
0.000 0.151 0.958
0.000 0.349 0.542
0.500 0.250 0.250
```

Calculated values
The calculation puts the density of states at the Fermi level at 2.18 states/eV per cell. The value obtained for the energy of formation from the pure elements is 0.258 eV/atom.

=====

Entry 30:
First-principles (PBE) data for a relaxed structure of ReIr2Pb, as listed in Alexandria.

The structure in POSCAR format:
```
ReIr2Pb
1.0
6.435 -0.001 -0.004
-2.566 4.191 0.000
1.304 0.800 2.462
Ir Pb Re
2 1 1
Direct
0.000 0.000 0.000
0.500 0.000 0.500
0.000 0.500 0.500
0.500 0.500 0.000
```

Calculated values
The calculation puts the density of states at the Fermi level at 3.51 states/eV per cell. The value obtained for the energy of formation from the pure elements is 0.562 eV/atom.